## AcPbAu (PBE)

Data for an optimized crystal structure of AcPbAu.

Cell and atoms, written as extended XYZ:
```
3
Lattice="2.069 -3.919 -2.957 3.009 -3.757 2.284 -1.858 -4.970 0.488" Properties=species:S:1:pos:R:3 pbc="T T T"
Au 0.805 -3.161 -0.046
Pb 2.415 -9.484 -0.139
Ac 0.000 0.000 0.000
```

Distance to the lowest polymorph of the same formula in meV per atom: 552
Final energy in eV/atom: -3.84

## AlInMo4N2 (PBE)

Data for an optimized crystal structure of AlInMo4N2.

Cell and atoms, written as extended XYZ:
```
8
Lattice="2.924 0.000 0.000 -1.462 2.532 0.000 0.000 0.000 14.690" Properties=species:S:1:pos:R:3 pbc="T T T"
Al 1.462 0.844 0.000
Mo 0.000 0.000 2.213
N 0.000 1.688 3.565
Mo 1.462 0.844 9.783
N 0.000 1.688 11.125
Mo 0.000 0.000 12.477
Mo 1.462 0.844 4.907
In 0.000 0.000 7.345
```

Final energy in eV/atom: -8.38

## YNiHgGe (PBE)

Data for an optimized crystal structure of YNiHgGe.

Cell and atoms, written as extended XYZ:
```
4
Lattice="2.458 -1.028 3.986 -2.285 -0.355 4.201 -0.514 -4.282 2.096" Properties=species:S:1:pos:R:3 pbc="T T T"
Hg -0.085 -1.416 2.571
Ge 0.000 0.000 0.000
Ni -0.255 -4.249 7.712
Y -0.170 -2.832 5.141
```

Final energy in eV/atom: -4.41

## Rb2Ag2W3 (PBE)

Data for an optimized crystal structure of Rb2Ag2W3.

Cell and atoms, written as extended XYZ:
```
7
Lattice="-8.619 5.469 5.469 -5.469 5.469 8.619 -5.469 8.619 5.469" Properties=species:S:1:pos:R:3 pbc="T T T"
Ag -9.416 9.416 9.416
Ag -0.539 0.539 0.539
Rb -4.069 4.069 4.069
Rb -14.775 14.775 14.775
W -18.558 18.558 18.558
W -12.415 12.415 12.415
W -6.233 6.233 6.233
```

Final energy in eV/atom: -5.79